1.
First-principles (GGA-PBE) data for a relaxed NaHo2ScSe4 crystal, as listed in Alexandria via LeMat-Bulk.

Output
The volume is 23.20 Å³/atom. As for the formation energy (no corrections): -1.662 eV per atom. The mass density is 6385 kg/m3.

a = 6.9529 Å, b = 4.0133 Å, c = 7.0394 Å
α = 90.00°, β = 109.11°, γ = 90.00°
Fractional coordinates of all 8 atoms:
Na (0.0000, 0.0000, 0.0000)
Ho (0.5000, 0.0000, 0.5000)
Ho (0.5000, 0.5000, 0.0000)
Sc (0.0000, 0.5000, 0.5000)
Se (0.2418, 0.0000, 0.7427)
Se (0.2488, 0.5000, 0.2563)
Se (0.7512, 0.5000, 0.7437)
Se (0.7582, 0.0000, 0.2573)

---

2.
First-principles (GGA-PBE) data for a relaxed NaHo3Sc2Se6 crystal, as listed in Alexandria via LeMat-Bulk.

Output
The volume is 22.82 Å³/atom. As for the formation energy (no corrections): -1.663 eV per atom. The mass density is 6556 kg/m3.

a = 8.9520 Å, b = 8.9520 Å, c = 8.0441 Å
α = 102.63°, β = 102.63°, γ = 25.85°
Fractional coordinates of all 12 atoms:
Na (0.0000, 0.0000, 0.0000)
Ho (0.0000, 0.0000, 0.5000)
Ho (0.3370, 0.3370, 0.1733)
Ho (0.6630, 0.6630, 0.8267)
Sc (0.3306, 0.3306, 0.6523)
Sc (0.6694, 0.6694, 0.3477)
Se (0.1690, 0.1690, 0.0933)
Se (0.1685, 0.1685, 0.5792)
Se (0.4945, 0.4945, 0.7466)
Se (0.5055, 0.5055, 0.2534)
Se (0.8315, 0.8315, 0.4208)
Se (0.8310, 0.8310, 0.9067)

---

3.
First-principles (GGA-PBE) data for a relaxed Na4Ho3ScTe8 crystal, as listed in Alexandria via LeMat-Bulk.

Output
The volume is 31.26 Å³/atom. As for the formation energy (no corrections): -1.275 eV per atom. The mass density is 5486 kg/m3.

a = 9.0867 Å, b = 9.0867 Å, c = 9.0867 Å
α = 57.51°, β = 57.51°, γ = 57.51°
Fractional coordinates of all 16 atoms:
Na (0.0000, 0.0000, 0.0000)
Na (0.0000, 0.5000, 0.5000)
Na (0.5000, 0.0000, 0.5000)
Na (0.5000, 0.5000, 0.0000)
Ho (0.0000, 0.0000, 0.5000)
Ho (0.0000, 0.5000, 0.0000)
Ho (0.5000, 0.0000, 0.0000)
Sc (0.5000, 0.5000, 0.5000)
Te (0.2442, 0.2442, 0.2442)
Te (0.2514, 0.7376, 0.7376)
Te (0.2624, 0.2624, 0.7486)
Te (0.2624, 0.7486, 0.2624)
Te (0.7376, 0.2514, 0.7376)
Te (0.7376, 0.7376, 0.2514)
Te (0.7486, 0.2624, 0.2624)
Te (0.7558, 0.7558, 0.7558)

---

4.
First-principles (GGA-PBE) data for a relaxed Na2HoScTe4 crystal, as listed in Alexandria via LeMat-Bulk.

Output
The volume is 30.62 Å³/atom. As for the formation energy (no corrections): -1.243 eV per atom. The mass density is 5194 kg/m3.

a = 7.4931 Å, b = 4.3276 Å, c = 7.9568 Å
α = 90.00°, β = 108.29°, γ = 90.00°
Fractional coordinates of all 8 atoms:
Na (0.0000, 0.0000, 0.0000)
Na (0.5000, 0.5000, 0.0000)
Ho (0.0000, 0.5000, 0.5000)
Sc (0.5000, 0.0000, 0.5000)
Te (0.2520, 0.0000, 0.7283)
Te (0.2683, 0.5000, 0.2775)
Te (0.7317, 0.5000, 0.7225)
Te (0.7480, 0.0000, 0.2717)